(1)
# PBE PmPr2PbC, optimized geometry
data_PmPr2PbC
_chemical_formula_sum 'Pm1 Pr2 Pb1 C1'
_cell_length_a 5.183
_cell_length_b 5.183
_cell_length_c 5.098
_cell_angle_alpha 90.00
_cell_angle_beta 90.00
_cell_angle_gamma 90.00
_space_group_name_H-M_alt 'P 4/m m m'
_space_group_IT_number 123
_space_group_name_Hall '-P 4 2'
loop_
_atom_site_label
_atom_site_fract_x
_atom_site_fract_y
_atom_site_fract_z
_atom_site_occupancy
Pm1 0.000 0.000 0.000 1
Pr1 0.000 0.500 0.500 1
Pb1 0.500 0.500 0.000 1
C1 0.000 0.000 0.500 1
# E_form = -0.391 eV/atom
# total moment = 0.000 μB/atom


(2)
# PBE Tm4AgBi2, optimized geometry
data_Tm4AgBi2
_chemical_formula_sum 'Tm8 Ag2 Bi4'
_cell_length_a 7.354
_cell_length_b 6.473
_cell_length_c 8.990
_cell_angle_alpha 90.00
_cell_angle_beta 111.05
_cell_angle_gamma 90.00
_space_group_name_H-M_alt 'P 1 21/m 1'
_space_group_IT_number 11
loop_
_space_group_symop_operation_xyz
'x,y,z'
'-x,-y,-z'
'-x,y+1/2,-z'
'x,-y+1/2,z'
loop_
_atom_site_label
_atom_site_fract_x
_atom_site_fract_y
_atom_site_fract_z
_atom_site_occupancy
Tm1 0.041 0.002 0.225 1
Tm2 0.426 0.250 0.148 1
Tm3 0.456 0.250 0.551 1
Ag1 0.291 0.250 0.800 1
Bi1 0.180 0.750 0.560 1
Bi2 0.284 0.750 0.058 1
# E_form = -0.336 eV/atom
# total moment = 0.000 μB/atom


(3)
# PBE NdMn3Ga3, optimized geometry
data_NdMn3Ga3
_chemical_formula_sum 'Nd2 Mn6 Ga6'
_cell_length_a 6.732
_cell_length_b 6.732
_cell_length_c 6.732
_cell_angle_alpha 90.00
_cell_angle_beta 90.00
_cell_angle_gamma 90.00
_space_group_name_H-M_alt 'P m -3 n'
_space_group_IT_number 223
_space_group_name_Hall '-P 4n 2 3'
loop_
_atom_site_label
_atom_site_fract_x
_atom_site_fract_y
_atom_site_fract_z
_atom_site_occupancy
Nd1 0.000 0.000 0.000 1
Mn1 0.000 0.250 0.500 1
Ga1 0.000 0.500 0.250 1
# E_form = 0.352 eV/atom
# total moment = 1.351 μB/atom


(4)
# PBE Sr2LaIO8, optimized geometry
data_Sr2LaIO8
_chemical_formula_sum 'Sr2 La1 I1 O8'
_cell_length_a 4.602
_cell_length_b 7.379
_cell_length_c 5.447
_cell_angle_alpha 90.00
_cell_angle_beta 93.61
_cell_angle_gamma 90.00
_space_group_name_H-M_alt 'P 1 2/m 1'
_space_group_IT_number 10
loop_
_space_group_symop_operation_xyz
'x,y,z'
'-x,-y,-z'
'-x,y,-z'
'x,-y,z'
loop_
_atom_site_label
_atom_site_fract_x
_atom_site_fract_y
_atom_site_fract_z
_atom_site_occupancy
Sr1 0.000 0.237 0.000 1
La1 0.500 0.500 0.500 1
I1 0.500 0.000 0.500 1
O1 0.029 0.500 0.281 1
O2 0.119 0.000 0.339 1
O3 0.423 0.190 0.725 1
# total moment = 0.174 μB/atom


Computed energy (eV/atom) in order:
-5.839 -4.407 -5.556 -5.834
Computed ρ (g/cm³) in order:
7.83 9.99 5.64 5.12